! K2PaCo3O12 PBE+U optimized geometry; values from VASP
&SYSTEM
  ibrav = 0, nat = 18, ntyp = 4
/
ATOMIC_SPECIES
Co 58.93 Co.upf
O 16.00 O.upf
Pa 231.04 Pa.upf
K 39.10 K.upf
CELL_PARAMETERS angstrom
-4.204 -2.644 -5.334
-0.206 -7.051 -1.831
-5.770 -4.291 1.186
ATOMIC_POSITIONS crystal
Co 0.000 0.500 0.000
Co 0.500 0.000 0.000
Co 0.000 0.000 0.500
O 0.316 0.911 0.316
O 0.077 0.077 0.642
O 0.911 0.316 0.316
O 0.077 0.642 0.077
O 0.923 0.358 0.923
O 0.089 0.684 0.684
O 0.642 0.077 0.077
O 0.316 0.316 0.911
O 0.684 0.089 0.684
O 0.923 0.923 0.358
O 0.358 0.923 0.923
O 0.684 0.684 0.089
Pa 0.000 0.000 0.000
K 0.606 0.606 0.606
K 0.394 0.394 0.394
! Energy, eV per cell: -106.5
! V, A^3/atom: 14.0
! Total magnetic moment, μB per atom: 0.45
! Density of states at the Fermi level, states/eV per cell: 7.78
! Space group: R-3m, No. 166